The following is a PBE-GGA calculation of a relaxed La2FeH4 crystal, from Alexandria.

a b c (Å): 3.5609 3.5609 7.7726
angles (deg): 76.76 76.76 90.00
Sites, in units of the cell vectors:
La 0.3715 0.3715 0.2570
La 0.6285 0.6285 0.7430
H 0.8863 0.8863 0.2274
H 0.0000 0.5000 0.0000
Fe 0.0000 0.0000 0.0000
H 0.1137 0.1137 0.7726
H 0.5000 0.0000 0.0000

* Fermi-level density of states: 0.643 states/eV/atom
* calculated total energy: -4.8731 eV per atom



The following is a PBE-GGA calculation of a relaxed La2FeH crystal, from Alexandria.

a b c (Å): 5.3338 5.3338 7.5641
angles (deg): 69.36 69.36 90.00
Sites, in units of the cell vectors:
H 0.5000 0.5000 0.0000
H 0.2500 0.7500 0.5000
Fe 0.0000 0.0000 0.0000
La 0.6144 0.1250 0.2500
Fe 0.7500 0.2500 0.5000
La 0.8750 0.8644 0.7500
La 0.3750 0.3856 0.7500
La 0.1356 0.6250 0.2500

* Fermi-level density of states: 0.702 states/eV/atom
* calculated total energy: -5.2863 eV per atom



The following is a PBE-GGA calculation of a relaxed LaFe2H crystal, from Alexandria.

a b c (Å): 5.4220 5.4220 5.4264
angles (deg): 60.03 60.03 90.00
Each line ends with the local moment (μB).
Sites, in units of the cell vectors:
La 0.0000 0.0000 0.0000  -0.34
Fe 0.8750 0.6249 0.7500  1.82
H 0.2500 0.7500 0.5000  -0.02
Fe 0.3751 0.6250 0.2500  1.94
H 0.5000 0.5000 0.0000  -0.02
La 0.7500 0.2500 0.5000  -0.34
Fe 0.3749 0.1250 0.2500  2.00
Fe 0.3750 0.6251 0.7500  1.88

* Fermi-level density of states: 0.839 states/eV/atom
* calculated total energy: -6.2656 eV per atom



The following is a PBE-GGA calculation of a relaxed LaFe2H crystal, from Alexandria.

a b c (Å): 4.3046 4.3046 4.3046
angles (deg): 60.00 60.00 60.00
Each line ends with the local moment (μB).
Sites, in units of the cell vectors:
Fe 0.2500 0.2500 0.2500  1.86
H 0.0000 0.0000 0.0000  0.04
Fe 0.7500 0.7500 0.7500  1.86
La 0.5000 0.5000 0.5000  -0.31

* Fermi-level density of states: 1.147 states/eV/atom
* calculated total energy: -5.3032 eV per atom